Entry 1:
This record from the Alexandria database describes a relaxed structure of AcTmTlAg. The functional is GGA-PBE.

Summary:
**Formation enthalpy at 0 K**: -0.26 eV per atom

```
AcTmTlAg
1.0
-4.100 -3.551 0.917
1.047 -4.863 2.349
-1.683 -0.990 5.143
Ag Tm Ac Tl
1 1 1 1
direct
0.250 0.250 0.250 Ag
0.000 0.000 0.000 Tm
0.500 0.500 0.500 Ac
0.750 0.750 0.750 Tl
```

Entry 2:
This record from the Alexandria database describes a relaxed structure of ReAgBr2. The functional is GGA-PBE.

Summary:
**Energy relative to the elements, uncorrected**: 258 kJ/mol of formula units

```
ReAgBr2
1.0
3.164 0.006 0.000
-1.698 2.670 0.000
0.000 0.000 10.284
Br Ag Re
2 1 1
direct
0.000 0.000 0.958 Br
0.500 0.500 0.308 Br
0.500 0.500 0.730 Ag
0.000 0.000 0.503 Re
```

| no. | D(E_F) (states/eV per atom) | mass density (g/cm³) |
| --- | --- | --- |
| 1 | 0.649 | 9.99 |
| 2 | 0.743 | 8.67 |